Record 1
TcAg2Sb | GGA-PBE | optimized geometry

Summary:
E = -4.5414 eV/atom
magnetic moment = 1.49 μB per formula unit
formation energy (no corrections) = 48.85 kJ per mole of atoms

Lattice parameters (Å, degrees): 3.0516 4.4125 5.5760 90.00 90.00 90.00
Space group Pmmm (No. 47)
Inequivalent atoms, fractional coordinates:
Tc (0.0000, 0.0000, 0.0000) [1 per cell]
Ag (0.5000, 0.5000, 0.2390) [2 per cell]
Sb (0.0000, 0.0000, 0.5000) [1 per cell]


Record 2
ZrZn2InAu | GGA-PBE | optimized geometry

Summary:
E = -2.7113 eV/atom
ΔE_f = 0.71 eV/atom
magnetic moment = 0.67 μB per formula unit

Lattice parameters (Å, degrees): 4.8570 4.8570 5.0421 90.00 90.00 90.00
Space group P4/mmm (No. 123)
Inequivalent atoms, fractional coordinates:
Zr (0.0000, 0.0000, 0.0000) [1 per cell]
Zn (0.0000, 0.5000, 0.5000) [2 per cell]
In (0.5000, 0.5000, 0.5000) [1 per cell]
Au (0.5000, 0.5000, 0.0000) [1 per cell]